Computed, not measured: an optimized crystal structure of AcPm3Ho6 at the PBE level of DFT.

Lattice parameters (Å, degrees): 6.513 6.544 9.703 90.29 108.45 119.73
Positions (direct):
Ac 0.000 0.000 0.000
Pm 0.000 0.500 0.500
Pm 0.300 0.445 0.313
Pm 0.700 0.555 0.687
Ho 0.128 0.137 0.682
Ho 0.303 0.650 0.951
Ho 0.453 0.015 0.316
Ho 0.547 0.985 0.684
Ho 0.697 0.350 0.049
Ho 0.872 0.863 0.318

Magnetization ... 0.00 Bohr magnetons per cell
Symmetry ... P-1



Computed, not measured: an optimized crystal structure of Ac2Pm3Ho4 at the PBE level of DFT.

Lattice parameters (Å, degrees): 3.697 3.697 27.061 90.00 90.00 120.00
Positions (direct):
Ac 0.000 0.000 0.000
Ac 0.000 0.000 0.233
Pm 0.000 0.000 0.782
Pm 0.333 0.667 0.119
Pm 0.333 0.667 0.468
Ho 0.000 0.000 0.365
Ho 0.000 0.000 0.575
Ho 0.333 0.667 0.676
Ho 0.333 0.667 0.888

Magnetization ... 0.00 Bohr magnetons per cell
Symmetry ... P3m1
Energy above the most stable polymorph in this dataset ... 0.000 kcal/mol of atoms



Computed, not measured: an optimized crystal structure of Ac4Pm5Ho2 at the PBE level of DFT.

Lattice parameters (Å, degrees): 9.922 9.922 8.304 104.04 104.04 31.24
Positions (direct):
Ac 0.043 0.043 0.229
Ac 0.318 0.318 0.593
Ac 0.682 0.682 0.407
Ac 0.957 0.957 0.771
Pm 0.138 0.138 0.691
Pm 0.226 0.226 0.125
Pm 0.500 0.500 0.500
Pm 0.774 0.774 0.875
Pm 0.862 0.862 0.309
Ho 0.408 0.408 0.051
Ho 0.592 0.592 0.949

Magnetization ... 0.00 Bohr magnetons per cell
Symmetry ... C2/m



Computed, not measured: an optimized crystal structure of AcPmHo2 at the PBE level of DFT.

Lattice parameters (Å, degrees): 5.240 5.240 5.085 90.00 90.00 90.00
Positions (direct):
Ac 0.000 0.000 0.000
Pm 0.500 0.500 0.000
Ho 0.000 0.500 0.500
Ho 0.500 0.000 0.500

Magnetization ... 0.00 Bohr magnetons per cell
Symmetry ... P4/mmm
Energy above the most stable polymorph in this dataset ... 0.069 kcal/mol of atoms



Computed, not measured: an optimized crystal structure of AcPm6Ho8 at the PBE level of DFT.

Lattice parameters (Å, degrees): 8.613 8.613 8.613 67.74 67.74 67.74
Positions (direct):
Ac 0.000 0.000 0.000
Pm 0.116 0.397 0.643
Pm 0.357 0.884 0.603
Pm 0.397 0.643 0.116
Pm 0.603 0.357 0.884
Pm 0.643 0.116 0.397
Pm 0.884 0.603 0.357
Ho 0.099 0.840 0.418
Ho 0.160 0.582 0.901
Ho 0.230 0.230 0.230
Ho 0.418 0.099 0.840
Ho 0.582 0.901 0.160
Ho 0.770 0.770 0.770
Ho 0.840 0.418 0.099
Ho 0.901 0.160 0.582

Magnetization ... 0.00 Bohr magnetons per cell
Symmetry ... R-3
Energy above the most stable polymorph in this dataset ... 1.652 kcal/mol of atoms



Computed, not measured: an optimized crystal structure of Ac8PmHo2 at the PBE level of DFT.

Lattice parameters (Å, degrees): 9.097 9.097 6.225 99.50 99.50 84.85
Positions (direct):
Ac 0.080 0.080 0.293
Ac 0.135 0.643 0.190
Ac 0.357 0.357 0.495
Ac 0.357 0.865 0.810
Ac 0.643 0.135 0.190
Ac 0.643 0.643 0.505
Ac 0.865 0.357 0.810
Ac 0.920 0.920 0.707
Pm 0.500 0.500 0.000
Ho 0.239 0.239 0.921
Ho 0.761 0.761 0.079

Magnetization ... 0.00 Bohr magnetons per cell
Symmetry ... C2/m



Number 1: energy relative to the elements 0.188 eV/atom. Number 2: energy relative to the elements 0.089 eV/atom. Number 3: energy relative to the elements 0.046 eV/atom. Number 4: energy relative to the elements 0.051 eV/atom. Number 5: energy relative to the elements 0.242 eV/atom. Number 6: energy relative to the elements 0.358 eV/atom.